[1]
Material: ScSeIBr2
Method: DFT, PBE-GGA
State: relaxed

```
data_ScSeIBr2
_chemical_formula_sum 'Sc1 Se1 I1 Br2'
_cell_length_a 5.1101
_cell_length_b 5.1101
_cell_length_c 5.7937
_cell_angle_alpha 90.00
_cell_angle_beta 90.00
_cell_angle_gamma 90.00
_symmetry_space_group_name_H-M 'P 4/m m m'
_symmetry_Int_Tables_number 123
_symmetry_space_group_name_Hall '-P 4 2'
loop_
_atom_site_label
_atom_site_type_symbol
_atom_site_fract_x
_atom_site_fract_y
_atom_site_fract_z
Sc1 Sc 0.0000 0.0000 0.0000
Se1 Se 0.0000 0.0000 0.5000
I1 I 0.5000 0.5000 0.5000
Br1 Br 0.0000 0.5000 0.0000
```

Results
Calculated total energy in eV/cell: -18.6
Total moment in μB per atom: 0.000
Mass density in g cm⁻³: 4.51
Formation energy (no corrections) in eV/atom: -0.77

[2]
Material: ScSe2IBr
Method: DFT, PBE-GGA
State: relaxed

```
data_ScSe2IBr
_chemical_formula_sum 'Sc1 Se2 I1 Br1'
_cell_length_a 5.3152
_cell_length_b 5.3152
_cell_length_c 5.1363
_cell_angle_alpha 90.00
_cell_angle_beta 90.00
_cell_angle_gamma 90.00
_symmetry_space_group_name_H-M 'P 4/m m m'
_symmetry_Int_Tables_number 123
_symmetry_space_group_name_Hall '-P 4 2'
loop_
_atom_site_label
_atom_site_type_symbol
_atom_site_fract_x
_atom_site_fract_y
_atom_site_fract_z
Sc1 Sc 0.0000 0.0000 0.0000
Se1 Se 0.0000 0.5000 0.0000
I1 I 0.5000 0.5000 0.5000
Br1 Br 0.0000 0.0000 0.5000
```

Results
Calculated total energy in eV/cell: -19.0
Total moment in μB per atom: 0.000
Mass density in g cm⁻³: 4.69
Formation energy (no corrections) in eV/atom: -0.50

[3]
Material: ScTe2IBr
Method: DFT, PBE-GGA
State: relaxed

```
data_ScTe2IBr
_chemical_formula_sum 'Sc1 Te2 I1 Br1'
_cell_length_a 5.6137
_cell_length_b 5.6137
_cell_length_c 5.5662
_cell_angle_alpha 90.00
_cell_angle_beta 90.00
_cell_angle_gamma 90.00
_symmetry_space_group_name_H-M 'P 4/m m m'
_symmetry_Int_Tables_number 123
_symmetry_space_group_name_Hall '-P 4 2'
loop_
_atom_site_label
_atom_site_type_symbol
_atom_site_fract_x
_atom_site_fract_y
_atom_site_fract_z
Sc1 Sc 0.0000 0.0000 0.0000
Te1 Te 0.0000 0.5000 0.0000
I1 I 0.0000 0.0000 0.5000
Br1 Br 0.5000 0.5000 0.5000
```

Results
Calculated total energy in eV/cell: -17.3
Total moment in μB per atom: 0.000
Mass density in g cm⁻³: 4.80
Formation energy (no corrections) in eV/atom: -0.29

[4]
Material: ScTe2IBr
Method: DFT, PBE-GGA
State: relaxed

```
data_ScTe2IBr
_chemical_formula_sum 'Sc1 Te2 I1 Br1'
_cell_length_a 5.7009
_cell_length_b 5.7009
_cell_length_c 5.5374
_cell_angle_alpha 90.00
_cell_angle_beta 90.00
_cell_angle_gamma 90.00
_symmetry_space_group_name_H-M 'P 4/m m m'
_symmetry_Int_Tables_number 123
_symmetry_space_group_name_Hall '-P 4 2'
loop_
_atom_site_label
_atom_site_type_symbol
_atom_site_fract_x
_atom_site_fract_y
_atom_site_fract_z
Sc1 Sc 0.0000 0.0000 0.0000
Te1 Te 0.0000 0.5000 0.5000
I1 I 0.5000 0.5000 0.0000
Br1 Br 0.5000 0.5000 0.5000
```

Results
Calculated total energy in eV/cell: -13.3
Total moment in μB per atom: 0.040
Mass density in g cm⁻³: 4.68
Formation energy (no corrections) in eV/atom: 0.50

[5]
Material: Th2ScI2Br4
Method: DFT, PBE-GGA
State: relaxed

```
data_Th2ScI2Br4
_chemical_formula_sum 'Th2 Sc1 I2 Br4'
_cell_length_a 3.8795
_cell_length_b 3.8795
_cell_length_c 24.6175
_cell_angle_alpha 90.00
_cell_angle_beta 90.00
_cell_angle_gamma 120.00
_symmetry_space_group_name_H-M 'P 3 m 1'
_symmetry_Int_Tables_number 156
loop_
_symmetry_equiv_pos_as_xyz
'x,y,z'
'-y,x-y,z'
'-x+y,-x,z'
'-y,-x,z'
'-x+y,y,z'
'x,x-y,z'
loop_
_atom_site_label
_atom_site_type_symbol
_atom_site_fract_x
_atom_site_fract_y
_atom_site_fract_z
Th1 Th 0.0000 0.0000 0.0000
Th2 Th 0.3333 0.6667 0.3287
Sc1 Sc 0.3333 0.6667 0.6731
I1 I 0.0000 0.0000 0.5949
I2 I 0.0000 0.0000 0.7514
Br1 Br 0.0000 0.0000 0.2446
Br2 Br 0.0000 0.0000 0.4127
Br3 Br 0.3333 0.6667 0.0840
Br4 Br 0.3333 0.6667 0.9160
```

Results
Calculated total energy in eV/cell: -42.7
Total moment in μB per atom: 0.109
Mass density in g cm⁻³: 5.60
Formation energy (no corrections) in eV/atom: -1.30

[6]
Material: ScTlI2Br
Method: DFT, PBE-GGA
State: relaxed

```
data_ScTlI2Br
_chemical_formula_sum 'Sc1 Tl1 I2 Br1'
_cell_length_a 5.8989
_cell_length_b 5.8989
_cell_length_c 5.3139
_cell_angle_alpha 90.00
_cell_angle_beta 90.00
_cell_angle_gamma 90.00
_symmetry_space_group_name_H-M 'P 4/m m m'
_symmetry_Int_Tables_number 123
_symmetry_space_group_name_Hall '-P 4 2'
loop_
_atom_site_label
_atom_site_type_symbol
_atom_site_fract_x
_atom_site_fract_y
_atom_site_fract_z
Sc1 Sc 0.0000 0.0000 0.0000
Tl1 Tl 0.5000 0.5000 0.5000
I1 I 0.0000 0.5000 0.0000
Br1 Br 0.0000 0.0000 0.5000
```

Results
Calculated total energy in eV/cell: -18.1
Total moment in μB per atom: 0.194
Mass density in g cm⁻³: 5.24
Formation energy (no corrections) in eV/atom: -0.92